# KBaSr2, relaxed, DFT PBE
# Energy of formation from the pure elements   6 kJ per mole of atoms
# DOS at the Fermi energy   16.9 states/eV/cell
# Energy relative to the lowest polymorph listed for this composition   7 meV per atom
data_KBaSr2
_cell_length_a 4.3497
_cell_length_b 4.3497
_cell_length_c 44.0839
_cell_angle_alpha 90.00
_cell_angle_beta 90.00
_cell_angle_gamma 120.00
_space_group_name_H-M_alt 'R -3 m'
_space_group_IT_number 166
_space_group_name_Hall '-R 3 2"'
loop_
_atom_site_label
_atom_site_type_symbol
_atom_site_fract_x
_atom_site_fract_y
_atom_site_fract_z
K1 K 0.0000 0.0000 0.0000
Ba1 Ba 0.0000 0.0000 0.5000
Sr1 Sr 0.0000 0.0000 0.2478